[1]
The following is a DFT calculation (GGA-PBE) of a geometry-optimized NaScCl4 structure.

Geometry as POSCAR:
```
NaScCl4
1.0
7.7975 -1.0955 0.0000
-2.0246 6.1954 0.0000
-2.8864 -2.5500 7.7317
Na Sc Cl
2 2 8
direct
0.2081 0.4581 0.9163 Na
0.7919 0.5419 0.0837 Na
0.0669 0.8169 0.6337 Sc
0.9331 0.1831 0.3663 Sc
0.0357 0.3310 0.1508 Cl
0.6152 0.8198 0.1508 Cl
0.2487 0.5832 0.6100 Cl
0.7513 0.4168 0.3900 Cl
0.1387 0.9732 0.3900 Cl
0.3848 0.1802 0.8492 Cl
0.8613 0.0268 0.6100 Cl
0.9643 0.6690 0.8492 Cl
```

Energy relative to the elements, uncorrected, eV/atom: -2.0069
Space-group type: C2/c
Energy above the lowest structure with this stoichiometry, meV per atom: 10.0

=====

[2]
The following is a DFT calculation (GGA-PBE) of a geometry-optimized NaSc2Cl structure.

Geometry as POSCAR:
```
NaSc2Cl
1.0
0.6467 -2.1420 4.6064
1.9818 2.7428 3.8438
-2.9657 1.4233 3.9248
Sc Na Cl
2 1 1
direct
0.2500 0.2500 0.2500 Sc
0.7500 0.7500 0.7500 Sc
0.0000 0.0000 0.0000 Na
0.5000 0.5000 0.5000 Cl
```

Energy relative to the elements, uncorrected, eV/atom: 0.1835
Space-group type: Fm-3m
Energy above the lowest structure with this stoichiometry, meV per atom: 470.9

=====

[3]
The following is a DFT calculation (GGA-PBE) of a geometry-optimized Na3ScCl structure.

Geometry as POSCAR:
```
Na3ScCl
1.0
-1.5071 4.7221 -4.1173
2.3611 -3.4945 -4.8720
-5.8031 -2.6481 -0.9130
Sc Na Cl
1 3 1
direct
0.0000 0.0000 0.0000 Sc
0.0000 0.5000 0.0000 Na
0.0000 0.0000 0.5000 Na
0.5000 0.0000 0.0000 Na
0.5000 0.5000 0.5000 Cl
```

Energy relative to the elements, uncorrected, eV/atom: 0.4945
Space-group type: Pm-3m
Energy above the lowest structure with this stoichiometry, meV per atom: 628.6

=====

[4]
The following is a DFT calculation (GGA-PBE) of a geometry-optimized NaScCl4 structure.

Geometry as POSCAR:
```
NaScCl4
1.0
-0.8523 -3.5147 -5.2246
6.3598 -0.1668 -0.9253
0.9146 -13.0676 8.6418
Na Sc Cl
4 4 16
direct
0.0000 0.2500 0.3203 Na
0.5000 0.7500 0.1797 Na
0.0000 0.7500 0.6797 Na
0.5000 0.2500 0.8203 Na
0.0000 0.2500 0.0702 Sc
0.5000 0.2500 0.5702 Sc
0.0000 0.7500 0.9298 Sc
0.5000 0.7500 0.4298 Sc
0.2687 0.6064 0.3229 Cl
0.7788 0.4283 0.9507 Cl
0.2788 0.5717 0.5493 Cl
0.7212 0.9283 0.5493 Cl
0.7687 0.3936 0.1771 Cl
0.2313 0.6064 0.8229 Cl
0.7313 0.8936 0.3229 Cl
0.2313 0.1064 0.1771 Cl
0.2687 0.1064 0.6771 Cl
0.7313 0.3936 0.6771 Cl
0.2212 0.5717 0.0493 Cl
0.7687 0.8936 0.8229 Cl
0.7788 0.9283 0.0493 Cl
0.2788 0.0717 0.4507 Cl
0.7212 0.4283 0.4507 Cl
0.2212 0.0717 0.9507 Cl
```

Energy relative to the elements, uncorrected, eV/atom: -2.0169
Space-group type: Pbcn
Energy above the lowest structure with this stoichiometry, meV per atom: 0.0

=====

[5]
The following is a DFT calculation (GGA-PBE) of a geometry-optimized NaScCl2 structure.

Geometry as POSCAR:
```
NaScCl2
1.0
-7.8074 -3.1130 1.3551
-5.6900 -6.2468 1.0417
-5.8558 -4.3915 4.3483
Sc Na Cl
1 1 2
direct
0.0000 0.0000 0.0000 Sc
0.5000 0.5000 0.5000 Na
0.9003 0.9003 0.9003 Cl
0.0997 0.0997 0.0997 Cl
```

Energy relative to the elements, uncorrected, eV/atom: -1.3641
Space-group type: R-3m
Energy above the lowest structure with this stoichiometry, meV per atom: 0.0

=====

[6]
The following is a DFT calculation (GGA-PBE) of a geometry-optimized Na2Sc2Cl structure.

Geometry as POSCAR:
```
Na2Sc2Cl
1.0
6.7074 0.0000 0.0000
0.0000 6.7074 0.0000
0.0000 0.0000 6.4614
Sc Na Cl
4 4 2
direct
0.1645 0.6645 0.5000 Sc
0.6645 0.8355 0.5000 Sc
0.8355 0.3355 0.5000 Sc
0.3355 0.1645 0.5000 Sc
0.3481 0.8481 0.0000 Na
0.8481 0.6519 0.0000 Na
0.6519 0.1519 0.0000 Na
0.1519 0.3481 0.0000 Na
0.0000 0.0000 0.0000 Cl
0.5000 0.5000 0.0000 Cl
```

Energy relative to the elements, uncorrected, eV/atom: 0.0280
Space-group type: P4/mbm
Energy above the lowest structure with this stoichiometry, meV per atom: 174.7

=====

[7]
The following is a DFT calculation (GGA-PBE) of a geometry-optimized Na2Sc2Cl structure.

Geometry as POSCAR:
```
Na2Sc2Cl
1.0
-0.9833 0.9897 3.6810
3.6750 -0.7627 1.1868
3.8181 9.2364 0.6414
Sc Na Cl
2 2 1
direct
0.7500 0.2500 0.5000 Sc
0.2500 0.7500 0.5000 Sc
0.4148 0.4148 0.1704 Na
0.5852 0.5852 0.8296 Na
0.0000 0.0000 0.0000 Cl
```

Energy relative to the elements, uncorrected, eV/atom: -0.1468
Space-group type: I4/mmm
Energy above the lowest structure with this stoichiometry, meV per atom: 0.0

=====

[8]
The following is a DFT calculation (GGA-PBE) of a geometry-optimized NaScCl2 structure.

Geometry as POSCAR:
```
NaScCl2
1.0
-2.2068 3.9298 4.6066
2.7106 -3.7432 4.4917
4.8400 3.0385 4.2347
Sc Na Cl
2 2 4
direct
0.0000 0.0000 0.0000 Sc
0.7500 0.2500 0.5000 Sc
0.5000 0.5000 0.0000 Na
0.2500 0.7500 0.5000 Na
0.6376 0.1250 0.2500 Cl
0.1124 0.6250 0.2500 Cl
0.3750 0.3624 0.7500 Cl
0.8750 0.8876 0.7500 Cl
```

Energy relative to the elements, uncorrected, eV/atom: -1.1315
Space-group type: I-42d
Energy above the lowest structure with this stoichiometry, meV per atom: 232.5

=====

[9]
The following is a DFT calculation (GGA-PBE) of a geometry-optimized NaScCl3 structure.

Geometry as POSCAR:
```
NaScCl3
1.0
-1.9906 -1.1661 -4.5228
0.2367 -4.9353 1.1683
-4.6647 0.2472 1.9893
Sc Na Cl
1 1 3
direct
0.0000 0.0000 0.0000 Sc
0.5000 0.5000 0.5000 Na
0.0000 0.5000 0.0000 Cl
0.0000 0.0000 0.5000 Cl
0.5000 0.0000 0.0000 Cl
```

Energy relative to the elements, uncorrected, eV/atom: -1.6752
Space-group type: Pm-3m
Energy above the lowest structure with this stoichiometry, meV per atom: 132.7

=====

[10]
The following is a DFT calculation (GGA-PBE) of a geometry-optimized NaScSi2Cl structure.

Geometry as POSCAR:
```
NaScSi2Cl
1.0
4.9200 0.0000 0.0000
0.0000 4.6357 0.0000
0.0000 0.0000 4.9200
Sc Na Si Cl
1 1 2 1
direct
0.5000 0.5000 0.5000 Sc
0.0000 0.5000 0.0000 Na
0.0000 0.0000 0.5000 Si
0.5000 0.0000 0.0000 Si
0.0000 0.0000 0.0000 Cl
```

Energy relative to the elements, uncorrected, eV/atom: 0.3887
Space-group type: P4/mmm

=====

[11]
The following is a DFT calculation (GGA-PBE) of a geometry-optimized NaScTlCl5 structure.

Geometry as POSCAR:
```
NaScTlCl5
1.0
-1.3626 5.2419 5.3101
-6.2775 -3.1968 -2.8116
3.2345 -7.2374 5.5625
Na Sc Tl Cl
2 2 2 10
direct
0.6838 0.3162 0.2500 Na
0.3162 0.6838 0.7500 Na
0.0000 0.0000 0.5000 Sc
0.0000 0.0000 0.0000 Sc
0.3515 0.6485 0.2500 Tl
0.6485 0.3515 0.7500 Tl
0.0644 0.9356 0.2500 Cl
0.9356 0.0644 0.7500 Cl
0.9179 0.2791 0.0850 Cl
0.0821 0.7209 0.9150 Cl
0.7209 0.0821 0.4150 Cl
0.2791 0.9179 0.5850 Cl
0.7476 0.6442 0.4483 Cl
0.2524 0.3558 0.5517 Cl
0.3558 0.2524 0.0517 Cl
0.6442 0.7476 0.9483 Cl
```

Energy relative to the elements, uncorrected, eV/atom: -1.7507
Space-group type: C2/c

=====

[12]
The following is a DFT calculation (GGA-PBE) of a geometry-optimized Na2ScTlCl6 structure.

Geometry as POSCAR:
```
Na2ScTlCl6
1.0
-3.8516 -1.2948 -5.8229
-2.8703 -6.4164 -1.0057
-7.5978 -0.6634 0.8414
Na Sc Tl Cl
2 1 1 6
direct
0.5221 0.5220 0.4335 Na
0.0043 0.0042 0.9874 Na
0.3270 0.3270 0.0190 Sc
0.8066 0.8066 0.5802 Tl
0.5579 0.2565 0.2250 Cl
0.2565 0.9605 0.2250 Cl
0.9605 0.5580 0.2251 Cl
0.3671 0.7049 0.7733 Cl
0.7049 0.1547 0.7733 Cl
0.1547 0.3671 0.7734 Cl
```

Energy relative to the elements, uncorrected, eV/atom: -1.7751
Space-group type: R3

=====

[13]
The following is a DFT calculation (GGA-PBE) of a geometry-optimized NaScTl2Cl6 structure.

Geometry as POSCAR:
```
NaScTl2Cl6
1.0
-6.8172 2.1076 -1.3364
-2.1057 -2.5608 6.7026
2.0171 9.2965 4.1856
Na Sc Tl Cl
2 2 4 12
direct
0.5000 0.0000 0.0000 Na
0.0000 0.5000 0.5000 Na
0.5000 0.0000 0.5000 Sc
0.0000 0.5000 0.0000 Sc
0.0136 0.9422 0.2504 Tl
0.5136 0.5578 0.7504 Tl
0.9864 0.0578 0.7496 Tl
0.4864 0.4422 0.2496 Tl
0.2789 0.6915 0.0363 Cl
0.7789 0.8085 0.5363 Cl
0.7211 0.3085 0.9637 Cl
0.2211 0.1915 0.4637 Cl
0.3106 0.7239 0.4630 Cl
0.8106 0.7761 0.9630 Cl
0.6894 0.2761 0.5370 Cl
0.1894 0.2239 0.0370 Cl
0.9268 0.5140 0.2357 Cl
0.4268 0.9860 0.7357 Cl
0.0732 0.4860 0.7643 Cl
0.5732 0.0140 0.2643 Cl
```

Energy relative to the elements, uncorrected, eV/atom: -1.6453
Space-group type: P2_1/c

=====

[14]
The following is a DFT calculation (GGA-PBE) of a geometry-optimized NaScVCl2 structure.

Geometry as POSCAR:
```
NaScVCl2
1.0
-4.8092 0.7115 0.0233
-0.2450 -1.8444 5.7461
0.6840 4.5744 1.4975
Sc Na Cl V
1 1 2 1
direct
0.0000 0.5000 0.0000 Sc
0.0000 0.0000 0.0000 Na
0.0000 0.0000 0.5000 Cl
0.5000 0.0000 0.0000 Cl
0.5000 0.5000 0.5000 V
```

Energy relative to the elements, uncorrected, eV/atom: 0.3576
Space-group type: P4/mmm
Energy above the lowest structure with this stoichiometry, meV per atom: 137.6

=====

[15]
The following is a DFT calculation (GGA-PBE) of a geometry-optimized NaScVCl2 structure.

Geometry as POSCAR:
```
NaScVCl2
1.0
4.8600 0.0000 0.0000
0.0000 5.6214 0.0000
0.0000 0.0000 4.8600
Sc Na Cl V
1 1 2 1
direct
0.5000 0.5000 0.5000 Sc
0.0000 0.0000 0.0000 Na
0.0000 0.0000 0.5000 Cl
0.5000 0.0000 0.0000 Cl
0.0000 0.5000 0.0000 V
```

Energy relative to the elements, uncorrected, eV/atom: 0.2200
Space-group type: P4/mmm
Energy above the lowest structure with this stoichiometry, meV per atom: 0.0

=====

[16]
The following is a DFT calculation (GGA-PBE) of a geometry-optimized NaSc2ZnCl structure.

Geometry as POSCAR:
```
NaSc2ZnCl
1.0
-0.6330 -0.4490 5.5155
3.7548 -2.8125 0.2020
3.2842 4.4375 0.7382
Sc Na Zn Cl
2 1 1 1
direct
0.0000 0.0000 0.5000 Sc
0.5000 0.0000 0.0000 Sc
0.0000 0.0000 0.0000 Na
0.5000 0.5000 0.5000 Zn
0.0000 0.5000 0.0000 Cl
```

Energy relative to the elements, uncorrected, eV/atom: 0.6544
Space-group type: P4/mmm

=====

[17]
The following is a DFT calculation (GGA-PBE) of a geometry-optimized Na2SeCl2 structure.

Geometry as POSCAR:
```
Na2SeCl2
1.0
8.2261 0.0000 0.0000
0.0000 8.2261 0.0000
0.0000 0.0000 3.3617
Na Se Cl
4 2 4
direct
0.1545 0.6545 0.5000 Na
0.6545 0.8455 0.5000 Na
0.8455 0.3455 0.5000 Na
0.3455 0.1545 0.5000 Na
0.0000 0.0000 0.0000 Se
0.5000 0.5000 0.0000 Se
0.3511 0.8511 0.0000 Cl
0.8511 0.6489 0.0000 Cl
0.6489 0.1489 0.0000 Cl
0.1489 0.3511 0.0000 Cl
```

Energy relative to the elements, uncorrected, eV/atom: -0.9243
Space-group type: P4/mbm
Energy above the lowest structure with this stoichiometry, meV per atom: 171.2

=====

[18]
The following is a DFT calculation (GGA-PBE) of a geometry-optimized NaSe3Cl structure.

Geometry as POSCAR:
```
NaSe3Cl
1.0
5.1048 0.0000 0.0000
0.0000 5.1048 0.0000
0.0000 0.0000 5.1048
Na Se Cl
1 3 1
direct
0.5000 0.5000 0.5000 Na
0.0000 0.5000 0.0000 Se
0.0000 0.0000 0.5000 Se
0.5000 0.0000 0.0000 Se
0.0000 0.0000 0.0000 Cl
```

Energy relative to the elements, uncorrected, eV/atom: 0.3329
Space-group type: Pm-3m
Energy above the lowest structure with this stoichiometry, meV per atom: 0.0

=====

[19]
The following is a DFT calculation (GGA-PBE) of a geometry-optimized Na2SeCl6 structure.

Geometry as POSCAR:
```
Na2SeCl6
1.0
-5.9977 1.5647 2.5936
-2.9008 -5.4569 -3.4158
2.2103 -5.9345 7.6035
Na Se Cl
4 2 12
direct
0.9645 0.4136 0.7682 Na
0.5355 0.9136 0.7318 Na
0.4645 0.0864 0.2682 Na
0.0355 0.5864 0.2318 Na
0.5000 0.5000 0.0000 Se
0.0000 0.0000 0.5000 Se
0.8684 0.9551 0.2693 Cl
0.8267 0.7148 0.5681 Cl
0.7891 0.6882 0.9456 Cl
0.7109 0.1882 0.5544 Cl
0.6733 0.2148 0.9319 Cl
0.6316 0.4551 0.2307 Cl
0.1316 0.0449 0.7307 Cl
0.1733 0.2852 0.4319 Cl
0.2109 0.3118 0.0544 Cl
0.2891 0.8118 0.4456 Cl
0.3267 0.7852 0.0681 Cl
0.3684 0.5449 0.7693 Cl
```

Energy relative to the elements, uncorrected, eV/atom: -0.9796
Space-group type: P2_1/c
Energy above the lowest structure with this stoichiometry, meV per atom: 0.0

=====

[20]
The following is a DFT calculation (GGA-PBE) of a geometry-optimized NaSeCl3 structure.

Geometry as POSCAR:
```
NaSeCl3
1.0
5.2950 0.0000 0.0000
0.0000 5.2950 0.0000
0.0000 0.0000 5.2950
Na Se Cl
1 1 3
direct
0.0000 0.0000 0.0000 Na
0.5000 0.5000 0.5000 Se
0.0000 0.5000 0.0000 Cl
0.0000 0.0000 0.5000 Cl
0.5000 0.0000 0.0000 Cl
```

Energy relative to the elements, uncorrected, eV/atom: -0.0323
Space-group type: Pm-3m
Energy above the lowest structure with this stoichiometry, meV per atom: 753.2